PBE Pm6Co2ICl3, optimized geometry; SG = C2/m, No. 12; magnetic moment = 0.0 Bohr magnetons per cell; DOS(E_F) = 12.0 states/eV/f.u.; formation energy without anion corrections = -903 meV/atom; calculated density = 6.23 Mg/m³
1.0
-2.167 0.140 -3.345
-7.539 0.287 4.896
3.030 8.941 0.787
I Pm Co Cl
1 6 2 3
direct
0.500 0.000 0.000 I
0.975 0.707 0.950 Pm
0.025 0.293 0.050 Pm
0.679 0.148 0.358 Pm
0.321 0.852 0.642 Pm
0.323 0.440 0.645 Pm
0.677 0.560 0.355 Pm
0.169 0.343 0.338 Co
0.831 0.657 0.662 Co
0.160 0.844 0.319 Cl
0.840 0.156 0.681 Cl
0.500 0.500 0.000 Cl



PBE CuAs2P6, optimized geometry; SG = P4/mmm, No. 123; magnetic moment = 0.0 Bohr magnetons per cell; DOS(E_F) = 3.1 states/eV/f.u.; ΔH_f (0 K) = 742 meV/atom; calculated density = 4.35 Mg/m³
1.0
4.033 0.000 0.000
0.000 4.033 0.000
0.000 0.000 9.363
P As Cu
6 2 1
direct
0.500 0.000 0.667 P
0.500 0.000 0.333 P
0.000 0.500 0.667 P
0.000 0.500 0.333 P
0.500 0.500 0.500 P
0.000 0.000 0.500 P
0.500 0.500 0.858 As
0.500 0.500 0.142 As
0.000 0.000 0.000 Cu



PBE LiCdPRh2, optimized geometry; SG = P4/mmm, No. 123; magnetic moment = 0.0 Bohr magnetons per cell; DOS(E_F) = 2.0 states/eV/f.u.; ΔH_f (0 K) = -65 meV/atom; calculated density = 6.25 Mg/m³
1.0
4.393 0.000 0.000
0.000 4.905 0.000
0.000 0.000 4.393
Li P Rh Cd
1 1 2 1
direct
0.500 0.500 0.500 Li
0.000 0.000 0.000 P
0.000 0.000 0.500 Rh
0.500 0.000 0.000 Rh
0.000 0.500 0.000 Cd



PBE Be2SbPb, optimized geometry; SG = C2/m, No. 12; magnetic moment = 0.0 Bohr magnetons per cell; DOS(E_F) = 1.2 states/eV/f.u.; formation energy without anion corrections = 487 meV/atom; calculated density = 7.32 Mg/m³
1.0
-1.761 3.403 -0.404
-1.122 1.183 -3.491
-6.404 -1.152 -0.498
Be Sb Pb
2 1 1
direct
0.516 0.516 0.452 Be
0.984 0.984 0.048 Be
0.250 0.250 0.250 Sb
0.750 0.750 0.750 Pb



PBE MgReRh, optimized geometry; SG = P6_3/mmc, No. 194; magnetic moment = 0.0 Bohr magnetons per cell; DOS(E_F) = 2.3 states/eV/f.u.; ΔH_f (0 K) = 108 meV/atom; calculated density = 11.48 Mg/m³
1.0
7.846 0.000 0.000
0.000 5.102 0.000
0.000 0.000 4.530
Mg Rh Re
4 4 4
direct
0.333 0.750 0.000 Mg
0.667 0.250 0.000 Mg
0.167 0.250 0.500 Mg
0.833 0.750 0.500 Mg
0.167 0.750 0.500 Rh
0.333 0.250 0.000 Rh
0.667 0.750 0.000 Rh
0.833 0.250 0.500 Rh
0.000 0.000 0.000 Re
0.500 0.500 0.500 Re
0.000 0.500 0.000 Re
0.500 0.000 0.500 Re



PBE Sn2BiPd2, optimized geometry; SG = I4/mmm, No. 139; magnetic moment = 0.0 Bohr magnetons per cell; DOS(E_F) = 2.9 states/eV/f.u.; ΔH_f (0 K) = -172 meV/atom; calculated density = 9.31 Mg/m³
1.0
4.731 0.000 0.000
0.000 4.731 0.000
2.365 2.365 5.253
Sn Pd Bi
2 2 1
direct
0.632 0.632 0.736 Sn
0.368 0.368 0.264 Sn
0.250 0.750 0.500 Pd
0.750 0.250 0.500 Pd
0.000 0.000 0.000 Bi



PBE Ru5Rh7, optimized geometry; SG = C2/m, No. 12; magnetic moment = 0.0 Bohr magnetons per cell; DOS(E_F) = 14.8 states/eV/f.u.; ΔH_f (0 K) = 258 meV/atom; calculated density = 11.50 Mg/m³
1.0
4.114 0.000 0.000
-2.057 3.982 -1.244
0.000 -4.817 12.310
Ru Rh
5 7
direct
0.724 0.449 0.425 Ru
0.594 0.188 0.807 Ru
0.000 0.000 0.000 Ru
0.406 0.812 0.193 Ru
0.276 0.551 0.575 Ru
0.850 0.700 0.751 Rh
0.150 0.300 0.249 Rh
0.272 0.544 0.950 Rh
0.728 0.456 0.050 Rh
0.500 0.000 0.500 Rh
0.071 0.141 0.670 Rh
0.929 0.859 0.330 Rh



PBE Tm6BiC, optimized geometry; SG = P-1, No. 2; magnetic moment = 0.0 Bohr magnetons per cell; DOS(E_F) = 9.6 states/eV/f.u.; ΔH_f (0 K) = -111 meV/atom; calculated density = 9.07 Mg/m³
1.0
-3.995 -5.173 -0.141
2.177 -5.749 -2.260
1.194 -5.157 4.820
Tm Bi C
6 1 1
direct
0.803 0.024 0.771 Tm
0.197 0.976 0.229 Tm
0.975 0.600 0.228 Tm
0.600 0.197 0.228 Tm
0.400 0.803 0.772 Tm
0.025 0.400 0.772 Tm
0.500 0.500 0.500 Bi
0.000 0.000 0.000 C



PBE Th4HPd2, optimized geometry; SG = I4/mmm, No. 139; magnetic moment = 0.0 Bohr magnetons per cell; DOS(E_F) = 8.3 states/eV/f.u.; E = -6.5197 eV/atom; calculated density = 11.06 Mg/m³
1.0
-2.907 -3.651 -0.260
1.219 -0.652 -4.465
4.950 -6.928 -0.084
Th Pd H
4 2 1
direct
0.500 0.000 0.000 Th
0.000 0.500 0.000 Th
0.811 0.811 0.378 Th
0.189 0.189 0.622 Th
0.640 0.640 0.720 Pd
0.360 0.360 0.280 Pd
0.000 0.000 0.000 H



PBE PmEr2IrO8, optimized geometry; SG = P2/m, No. 10; magnetic moment = 1.8 Bohr magnetons per cell; DOS(E_F) = 5.1 states/eV/f.u.; formation energy without anion corrections = -2349 meV/atom; calculated density = 7.66 Mg/m³
1.0
-4.366 -2.021 1.518
-1.268 -0.884 -4.788
2.964 -6.141 0.349
O Pm Er Ir
8 1 2 1
direct
0.814 0.189 0.795 O
0.186 0.811 0.205 O
0.730 0.732 0.000 O
0.317 0.314 0.500 O
0.814 0.189 0.205 O
0.186 0.811 0.795 O
0.683 0.686 0.500 O
0.270 0.268 0.000 O
0.000 0.000 0.500 Pm
0.500 0.500 0.749 Er
0.500 0.500 0.251 Er
0.000 0.000 0.000 Ir



PBE ZnCd2Se, optimized geometry; SG = Cmmm, No. 65; magnetic moment = 0.0 Bohr magnetons per cell; DOS(E_F) = 1.5 states/eV/f.u.; formation energy without anion corrections = 13 meV/atom; calculated density = 7.13 Mg/m³
1.0
3.740 -0.009 0.000
-0.084 3.739 0.000
0.000 0.000 6.147
Se Cd Zn
1 2 1
direct
0.500 0.500 0.250 Se
0.000 0.000 0.511 Cd
0.000 0.000 0.989 Cd
0.500 0.500 0.750 Zn



PBE Ca3Nd3HoSe8, optimized geometry; SG = R-3m, No. 166; magnetic moment = 0.0 Bohr magnetons per cell; DOS(E_F) = 4.4 states/eV/f.u.; formation energy without anion corrections = -1927 meV/atom; calculated density = 5.33 Mg/m³
1.0
8.379 0.000 0.000
-4.190 7.260 -0.026
0.000 -4.816 6.929
Nd Se Ho Ca
3 8 1 3
direct
0.500 0.500 0.500 Nd
0.000 0.500 0.500 Nd
0.500 0.000 0.500 Nd
0.243 0.001 0.744 Se
0.243 0.486 0.745 Se
0.752 0.504 0.756 Se
0.248 0.496 0.244 Se
0.242 0.999 0.256 Se
0.757 0.514 0.255 Se
0.758 0.001 0.744 Se
0.757 0.999 0.256 Se
0.000 0.000 0.500 Ho
0.500 0.500 0.000 Ca
0.000 0.500 0.000 Ca
0.000 0.000 0.000 Ca



PBE NbFe3, optimized geometry; SG = R-3m, No. 166; magnetic moment = 9.3 Bohr magnetons per cell; DOS(E_F) = 5.1 states/eV/f.u.; ΔH_f (0 K) = -65 meV/atom; calculated density = 8.55 Mg/m³
1.0
-0.159 -2.426 -4.093
-2.863 -1.220 3.602
-4.347 6.863 -1.132
Fe Nb
9 3
direct
0.335 0.413 0.748 Fe
0.669 0.335 0.004 Fe
0.174 0.587 0.252 Fe
0.665 0.078 0.252 Fe
0.331 0.665 0.996 Fe
0.335 0.922 0.748 Fe
0.665 0.587 0.252 Fe
0.826 0.413 0.748 Fe
0.000 0.500 0.500 Fe
0.278 0.139 0.417 Nb
0.722 0.861 0.583 Nb
0.000 0.000 0.000 Nb



PBE Ba2PmF8, optimized geometry; SG = C2/m, No. 12; magnetic moment = 1.1 Bohr magnetons per cell; DOS(E_F) = 7.8 states/eV/f.u.; formation energy without anion corrections = -3545 meV/atom; calculated density = 5.34 Mg/m³
1.0
4.120 0.000 -0.923
-0.236 4.360 -1.054
0.056 -0.086 9.908
F Ba Pm
8 2 1
direct
0.566 0.628 0.132 F
0.752 0.751 0.504 F
0.955 0.768 0.910 F
0.434 0.372 0.868 F
0.631 0.150 0.262 F
0.248 0.249 0.496 F
0.045 0.232 0.090 F
0.369 0.850 0.738 F
0.168 0.659 0.336 Ba
0.832 0.341 0.664 Ba
0.500 0.000 0.000 Pm